Computed, not measured: a geometry-optimized Ca4Al5FeSi6H2O26 structure at the PBE+U level of DFT.

Geometry as extended XYZ:
```
44
Lattice="8.984 0.000 0.000 0.000 5.676 0.000 -4.396 0.000 9.253" Properties=species:S:1:pos:R:3 pbc="T T T"
Ca 0.000 0.000 0.000
Ca -1.912 0.000 6.719
Ca 3.805 2.838 3.885
Ca 6.328 2.838 1.407
Al -0.635 0.000 3.230
Al 0.939 1.417 5.314
Al 0.939 4.259 5.314
Al 3.178 1.414 0.708
Al 3.178 4.262 0.708
Fe 2.607 2.838 7.383
Si -1.874 2.838 4.872
Si -3.074 2.838 7.883
Si 0.709 2.838 2.399
Si 1.203 0.000 8.265
Si 5.076 0.000 2.799
Si 3.784 0.000 5.769
H 1.908 0.000 2.352
H 0.017 2.838 8.316
O -2.782 2.838 6.260
O -0.184 1.491 2.082
O -0.184 4.185 2.082
O -0.964 1.439 4.910
O -0.964 4.237 4.910
O -2.382 1.486 8.493
O -2.382 4.190 8.493
O 2.138 0.000 1.392
O 2.174 2.838 1.597
O 1.005 0.000 4.103
O 1.233 2.838 3.997
O 0.686 0.000 6.662
O 0.823 2.838 6.520
O -0.243 0.000 9.074
O 4.207 2.838 0.029
O 4.373 1.337 2.155
O 4.373 4.339 2.155
O 2.858 1.386 5.692
O 2.858 4.290 5.692
O 2.116 1.315 8.630
O 2.116 4.361 8.630
O 4.720 0.000 4.409
O 6.085 2.838 3.661
O 6.670 0.000 2.591
O 4.781 0.000 7.004
O 4.330 2.838 8.197
```

## Properties
The density of states at the Fermi level is 0.000 states/eV per cell. Its symmetry is Pm, No. 6. As for the total magnetization: 4.93 μB per cell. The calculation puts the total energy at -7.336 eV per atom.